{"formula": "BaZrSeF2", "functional": "PBE-GGA", "state": "optimized geometry", "cell": [[4.7606, 0.0000, 0.0000], [0.0000, 4.7606, 0.0000], [0.0000, 0.0000, 6.1325]], "species": ["Ba", "Zr", "Se", "F", "F"], "fractional_positions": [[0.0000, 0.0000, 0.0000], [0.5000, 0.5000, 0.0000], [0.0000, 0.0000, 0.5000], [0.0000, 0.5000, 0.5000], [0.5000, 0.0000, 0.5000]]}

=====

{"formula": "BaSi2F", "functional": "PBE-GGA", "state": "optimized geometry", "cell": [[3.6647, 0.0000, 0.0000], [0.0000, 3.6647, 0.0000], [0.0000, 0.0000, 26.6179]], "species": ["Ba", "Ba", "Ba", "Ba", "Si", "Si", "Si", "Si", "Si", "Si", "Si", "Si", "F", "F", "F", "F"], "fractional_positions": [[0.0000, 0.0000, 0.0000], [0.0000, 0.5000, 0.2500], [0.5000, 0.0000, 0.7500], [0.5000, 0.5000, 0.5000], [0.2482, 0.7500, 0.1250], [0.2500, 0.2482, 0.8750], [0.2500, 0.2518, 0.3750], [0.2518, 0.7500, 0.6250], [0.7482, 0.2500, 0.6250], [0.7500, 0.7482, 0.3750], [0.7500, 0.7518, 0.8750], [0.7518, 0.2500, 0.1250], [0.0000, 0.0000, 0.5000], [0.0000, 0.5000, 0.7500], [0.5000, 0.0000, 0.2500], [0.5000, 0.5000, 0.0000]]}

=====

{"formula": "BaSi2F8", "functional": "PBE-GGA", "state": "optimized geometry", "cell": [[4.7668, -2.7166, 0.0000], [4.7668, 2.7166, 0.0000], [-4.7292, 0.0000, 6.3121]], "species": ["Ba", "Si", "Si", "F", "F", "F", "F", "F", "F", "F", "F"], "fractional_positions": [[0.0000, 0.0000, 0.0000], [0.4694, 0.4694, 0.6260], [0.5306, 0.5306, 0.3740], [0.1582, 0.6474, 0.2334], [0.2492, 0.2492, 0.4229], [0.3526, 0.8418, 0.7666], [0.4038, 0.4038, 0.7866], [0.5962, 0.5962, 0.2134], [0.6474, 0.1582, 0.2334], [0.7508, 0.7508, 0.5771], [0.8418, 0.3526, 0.7666]]}

=====

{"formula": "Ba3SiF", "functional": "PBE-GGA", "state": "optimized geometry", "cell": [[8.3300, -2.3752, 0.0000], [8.3300, 2.3752, 0.0000], [-6.0748, 0.0000, 10.1626]], "species": ["Ba", "Ba", "Ba", "Ba", "Ba", "Ba", "Si", "Si", "F", "F"], "fractional_positions": [[0.1240, 0.1240, 0.4418], [0.3701, 0.3701, 0.1707], [0.3696, 0.3696, 0.8488], [0.6304, 0.6304, 0.1512], [0.6299, 0.6299, 0.8293], [0.8760, 0.8760, 0.5582], [0.0302, 0.0302, 0.9218], [0.9698, 0.9698, 0.0782], [0.3138, 0.3138, 0.5855], [0.6862, 0.6862, 0.4145]]}

=====

{"formula": "Ba12Si3F5", "functional": "PBE-GGA", "state": "optimized geometry", "cell": [[-8.9787, 8.9787, 8.9787], [8.9787, -8.9787, 8.9787], [8.9787, 8.9787, -8.9787]], "species": ["Ba", "Ba", "Ba", "Ba", "Ba", "Ba", "Ba", "Ba", "Ba", "Ba", "Ba", "Ba", "Ba", "Ba", "Ba", "Ba", "Ba", "Ba", "Ba", "Ba", "Ba", "Ba", "Ba", "Ba", "Ba", "Ba", "Ba", "Ba", "Ba", "Ba", "Ba", "Ba", "Ba", "Ba", "Ba", "Ba", "Ba", "Ba", "Ba", "Ba", "Ba", "Ba", "Ba", "Ba", "Ba", "Ba", "Ba", "Ba", "Si", "Si", "Si", "Si", "Si", "Si", "Si", "Si", "Si", "Si", "Si", "Si", "F", "F", "F", "F", "F", "F", "F", "F", "F", "F", "F", "F", "F", "F", "F", "F", "F", "F", "F", "F"], "fractional_positions": [[0.0299, 0.2154, 0.1248], [0.0299, 0.3146, 0.9052], [0.0906, 0.7154, 0.6854], [0.0906, 0.8752, 0.4052], [0.0948, 0.6248, 0.4094], [0.0948, 0.9701, 0.6854], [0.1248, 0.0299, 0.2154], [0.1248, 0.5948, 0.9094], [0.1854, 0.2154, 0.5906], [0.1854, 0.4701, 0.5948], [0.2154, 0.1248, 0.0299], [0.2154, 0.5906, 0.1854], [0.2846, 0.3146, 0.9094], [0.2846, 0.4701, 0.3752], [0.3146, 0.9052, 0.0299], [0.3146, 0.9094, 0.2846], [0.3752, 0.2846, 0.4701], [0.3752, 0.5906, 0.9052], [0.4052, 0.0906, 0.8752], [0.4052, 0.8146, 0.5299], [0.4094, 0.0948, 0.6248], [0.4094, 0.8146, 0.7846], [0.4701, 0.3752, 0.2846], [0.4701, 0.5948, 0.1854], [0.5299, 0.4052, 0.8146], [0.5299, 0.6248, 0.7154], [0.5906, 0.1854, 0.2154], [0.5906, 0.9052, 0.3752], [0.5948, 0.1854, 0.4701], [0.5948, 0.9094, 0.1248], [0.6248, 0.4094, 0.0948], [0.6248, 0.7154, 0.5299], [0.6854, 0.0906, 0.7154], [0.6854, 0.0948, 0.9701], [0.7154, 0.5299, 0.6248], [0.7154, 0.6854, 0.0906], [0.7846, 0.4094, 0.8146], [0.7846, 0.8752, 0.9701], [0.8146, 0.5299, 0.4052], [0.8146, 0.7846, 0.4094], [0.8752, 0.4052, 0.0906], [0.8752, 0.9701, 0.7846], [0.9052, 0.0299, 0.3146], [0.9052, 0.3752, 0.5906], [0.9094, 0.1248, 0.5948], [0.9094, 0.2846, 0.3146], [0.9701, 0.6854, 0.0948], [0.9701, 0.7846, 0.8752], [0.1250, 0.2500, 0.3750], [0.1250, 0.3750, 0.7500], [0.2500, 0.3750, 0.1250], [0.2500, 0.8750, 0.6250], [0.3750, 0.1250, 0.2500], [0.3750, 0.7500, 0.1250], [0.6250, 0.2500, 0.8750], [0.6250, 0.8750, 0.7500], [0.7500, 0.1250, 0.3750], [0.7500, 0.6250, 0.8750], [0.8750, 0.6250, 0.2500], [0.8750, 0.7500, 0.6250], [0.0000, 0.0000, 0.0000], [0.0000, 0.0000, 0.5000], [0.0000, 0.5000, 0.0000], [0.0000, 0.5000, 0.5000], [0.1250, 0.7500, 0.8750], [0.1250, 0.8750, 0.2500], [0.2500, 0.1250, 0.8750], [0.2500, 0.6250, 0.3750], [0.3750, 0.2500, 0.6250], [0.3750, 0.6250, 0.7500], [0.5000, 0.0000, 0.0000], [0.5000, 0.0000, 0.5000], [0.5000, 0.5000, 0.0000], [0.5000, 0.5000, 0.5000], [0.6250, 0.3750, 0.2500], [0.6250, 0.7500, 0.3750], [0.7500, 0.3750, 0.6250], [0.7500, 0.8750, 0.1250], [0.8750, 0.1250, 0.7500], [0.8750, 0.2500, 0.1250]]}

=====

{"formula": "BaSi2F", "functional": "PBE-GGA", "state": "optimized geometry", "cell": [[7.2044, 0.0000, 0.0000], [0.0000, 7.2044, 0.0000], [0.0000, 0.0000, 7.2044]], "species": ["Ba", "Ba", "Ba", "Ba", "Si", "Si", "Si", "Si", "Si", "Si", "Si", "Si", "F", "F", "F", "F"], "fractional_positions": [[0.0000, 0.0000, 0.0000], [0.0000, 0.5000, 0.5000], [0.5000, 0.0000, 0.5000], [0.5000, 0.5000, 0.0000], [0.2500, 0.2500, 0.2500], [0.2500, 0.2500, 0.7500], [0.2500, 0.7500, 0.2500], [0.2500, 0.7500, 0.7500], [0.7500, 0.2500, 0.2500], [0.7500, 0.2500, 0.7500], [0.7500, 0.7500, 0.2500], [0.7500, 0.7500, 0.7500], [0.0000, 0.0000, 0.5000], [0.0000, 0.5000, 0.0000], [0.5000, 0.0000, 0.0000], [0.5000, 0.5000, 0.5000]]}

=====

{"formula": "BaSiF2", "functional": "PBE-GGA", "state": "optimized geometry", "cell": [[4.9091, 0.0000, 0.0000], [0.0000, 4.9091, 0.0000], [0.0000, 0.0000, 15.7347]], "species": ["Ba", "Ba", "Ba", "Ba", "Si", "Si", "Si", "Si", "F", "F", "F", "F", "F", "F", "F", "F"], "fractional_positions": [[0.0000, 0.0000, 0.0000], [0.0000, 0.5000, 0.2500], [0.5000, 0.0000, 0.7500], [0.5000, 0.5000, 0.5000], [0.0000, 0.0000, 0.5000], [0.0000, 0.5000, 0.7500], [0.5000, 0.0000, 0.2500], [0.5000, 0.5000, 0.0000], [0.2376, 0.2500, 0.6250], [0.2500, 0.7376, 0.8750], [0.2500, 0.7624, 0.3750], [0.2624, 0.2500, 0.1250], [0.7376, 0.7500, 0.1250], [0.7500, 0.2376, 0.3750], [0.7500, 0.2624, 0.8750], [0.7624, 0.7500, 0.6250]]}

=====

{"formula": "BaSiF3", "functional": "PBE-GGA", "state": "optimized geometry", "cell": [[5.0570, 0.0000, 0.0000], [0.0000, 5.0570, 0.0000], [0.0000, 0.0000, 5.0570]], "species": ["Ba", "Si", "F", "F", "F"], "fractional_positions": [[0.0000, 0.0000, 0.0000], [0.5000, 0.5000, 0.5000], [0.0000, 0.0000, 0.5000], [0.0000, 0.5000, 0.0000], [0.5000, 0.0000, 0.0000]]}

=====

{"formula": "Ba3SiF12", "functional": "PBE-GGA", "state": "optimized geometry", "cell": [[4.2789, -7.2004, 0.0000], [4.2789, 7.2004, 0.0000], [-1.8689, 0.0000, 4.2601]], "species": ["Ba", "Ba", "Ba", "Si", "F", "F", "F", "F", "F", "F", "F", "F", "F", "F", "F", "F"], "fractional_positions": [[0.0000, 0.0000, 0.0000], [0.0000, 0.5000, 0.5000], [0.5000, 0.0000, 0.5000], [0.5000, 0.5000, 0.5000], [0.1081, 0.7177, 0.1432], [0.1529, 0.3025, 0.5231], [0.2823, 0.8919, 0.8568], [0.3025, 0.1529, 0.5231], [0.3470, 0.5078, 0.2280], [0.4922, 0.6530, 0.7720], [0.5078, 0.3470, 0.2280], [0.6530, 0.4922, 0.7720], [0.6975, 0.8471, 0.4769], [0.7177, 0.1081, 0.1432], [0.8471, 0.6975, 0.4769], [0.8919, 0.2823, 0.8568]]}

=====

{"formula": "Ba2SiF", "functional": "PBE-GGA", "state": "optimized geometry", "cell": [[4.4304, 0.0000, 0.0000], [-2.2152, 3.8368, 0.0000], [0.0000, 0.0000, 22.1968]], "species": ["Ba", "Ba", "Ba", "Ba", "Ba", "Ba", "Si", "Si", "Si", "F", "F", "F"], "fractional_positions": [[0.0000, 0.0000, 0.2421], [0.0000, 0.0000, 0.7579], [0.3333, 0.6667, 0.4245], [0.3333, 0.6667, 0.9088], [0.6667, 0.3333, 0.0912], [0.6667, 0.3333, 0.5755], [0.0000, 0.0000, 0.0000], [0.3333, 0.6667, 0.6667], [0.6667, 0.3333, 0.3333], [0.0000, 0.0000, 0.5000], [0.3333, 0.6667, 0.1667], [0.6667, 0.3333, 0.8333]]}

=====

Number 1: raw formation energy -0.39 eV per formula unit, raw total energy -3.62 eV/atom, total moment 2.60 μB per cell. Number 2: raw formation energy -4.60 eV per formula unit, raw total energy -4.81 eV/atom, total moment 0.00 μB per cell. Number 3: raw formation energy -34.22 eV per formula unit, raw total energy -5.63 eV/atom, total moment 0.00 μB per cell. Number 4: raw formation energy -6.31 eV per formula unit, raw total energy -3.87 eV/atom, total moment 0.00 μB per cell. Number 5: raw formation energy -29.06 eV per formula unit, raw total energy -3.89 eV/atom, total moment 18.56 μB per cell. Number 6: raw formation energy 0.49 eV per formula unit, raw total energy -3.54 eV/atom, total moment 0.00 μB per cell. Number 7: raw formation energy -6.78 eV per formula unit, raw total energy -4.47 eV/atom, total moment 7.35 μB per cell. Number 8: raw formation energy -9.19 eV per formula unit, raw total energy -4.43 eV/atom, total moment 1.00 μB per cell. Number 9: raw formation energy -46.73 eV per formula unit, raw total energy -5.02 eV/atom, total moment 2.00 μB per cell. Number 10: raw formation energy -5.48 eV per formula unit, raw total energy -4.16 eV/atom, total moment 0.00 μB per cell.